BaCoSO: relaxed, PBE+U.

It has space group P6_3mc (No. 186), with a = 4.0839 Å, b = 4.0839 Å, c = 11.8832 Å, α = 90.00°, β = 90.00° and γ = 120.00°. The inequivalent atoms are Ba at (0.3333, 0.6667, 0.0000), Co at (0.0000, 0.0000, 0.2366), S at (0.3333, 0.6667, 0.2977) and O at (0.0000, 0.0000, 0.0799).

For the total energy, the calculation gives -5.560 eV per atom. Its size of the total moment is 0.749 μB/atom. The calculation puts the volume at 171.6 Å³ per cell.